# 1
Density functional theory data (PBE) for a relaxed structure of La3Ga2Hg.

Computed properties:
**Calculated formation energy**: -0.552 eV/atom
**Total energy**: -4.07 eV/atom
**D(E_F)**: 0.779 states/eV/atom

Lattice parameters (Å, degrees): 3.7703 3.7703 11.7328 90.00 90.00 90.00
With the nearest neighbours (Å) after each atom.
Fractional positions:
1 La 0.0000 0.0000 0.0000  8 Ga 3.29
2 La 0.0000 0.0000 0.3195  4 Ga 3.23, 4 Hg 3.40
3 La 0.0000 0.0000 0.6805  4 Ga 3.23, 4 Hg 3.40
4 Ga 0.5000 0.5000 0.1644  8 La 3.23-3.29
5 Ga 0.5000 0.5000 0.8356  8 La 3.23-3.29
6 Hg 0.5000 0.5000 0.5000  8 La 3.40, 4 Hg 3.77

# 2
Density functional theory data (PBE) for a relaxed structure of Pm4Ho4Er.

Computed properties:
**Calculated formation energy**: 0.021 eV/atom
**Total energy**: -4.63 eV/atom
**Energy above the lowest structure with this stoichiometry**: 0.00 eV/f.u.
**D(E_F)**: 1.514 states/eV/atom

Lattice parameters (Å, degrees): 8.0030 8.0030 5.0550 108.36 108.36 84.27
With the nearest neighbours (Å) after each atom.
Fractional positions:
1 Pm 0.1691 0.1691 0.6690  1 Er 3.56, 6 Ho 3.56-3.59, 5 Pm 3.60-3.63
2 Pm 0.1691 0.8309 0.0000  1 Er 3.55, 6 Ho 3.56-3.59, 5 Pm 3.60-3.63
3 Pm 0.8309 0.1691 0.0000  1 Er 3.55, 6 Ho 3.56-3.59, 5 Pm 3.60-3.63
4 Pm 0.8309 0.8309 0.3310  1 Er 3.56, 6 Ho 3.56-3.59, 5 Pm 3.60-3.63
5 Ho 0.1685 0.5000 0.3342  4 Ho 3.56-3.60, 6 Pm 3.56-3.59, 2 Er 3.57
6 Ho 0.5000 0.1685 0.3342  4 Ho 3.56-3.60, 6 Pm 3.56-3.59, 2 Er 3.57
7 Ho 0.5000 0.8315 0.6658  4 Ho 3.56-3.60, 6 Pm 3.56-3.59, 2 Er 3.57
8 Ho 0.8315 0.5000 0.6658  4 Ho 3.56-3.60, 6 Pm 3.56-3.59, 2 Er 3.57
9 Er 0.5000 0.5000 0.0000  4 Pm 3.55-3.56, 8 Ho 3.57

# 3
Density functional theory data (PBE) for a relaxed structure of Co2Pb.

Computed properties:
**Calculated formation energy**: 1.037 eV/atom
**Total energy**: -4.94 eV/atom
**D(E_F)**: 1.513 states/eV/atom

Lattice parameters (Å, degrees): 6.0981 6.0981 6.0981 90.00 90.00 90.00
With the nearest neighbours (Å) after each atom.
Fractional positions:
1 Co 0.1029 0.1029 0.1029  1 Co 2.17
2 Co 0.1029 0.3971 0.6029  1 Co 2.17
3 Co 0.3971 0.6029 0.1029  1 Co 2.17
4 Co 0.3971 0.8971 0.6029  1 Co 2.17
5 Co 0.6029 0.1029 0.3971  1 Co 2.17
6 Co 0.6029 0.3971 0.8971  1 Co 2.17
7 Co 0.8971 0.6029 0.3971  1 Co 2.17
8 Co 0.8971 0.8971 0.8971  1 Co 2.17
9 Pb 0.0000 0.0000 0.5000  6 Co 2.58
10 Pb 0.0000 0.5000 0.0000  6 Co 2.58
11 Pb 0.5000 0.0000 0.0000  6 Co 2.58
12 Pb 0.5000 0.5000 0.5000  6 Co 2.58

# 4
Density functional theory data (PBE) for a relaxed structure of Cu2Sb2Pd.

Computed properties:
**Total energy**: -4.31 eV/atom
**Energy above the lowest structure with this stoichiometry**: 0.00 eV/f.u.
**Formation energy from raw total energies**: 0.014 eV/atom
**D(E_F)**: 0.600 states/eV/atom

Lattice parameters (Å, degrees): 6.9234 6.9234 3.7677 90.00 90.00 90.00
With the nearest neighbours (Å) after each atom.
Fractional positions:
1 Cu 0.1268 0.3732 0.0000  1 Cu 2.48, 2 Sb 2.69, 2 Pd 2.73
2 Cu 0.3732 0.8732 0.0000  1 Cu 2.48, 2 Sb 2.69, 2 Pd 2.73
3 Cu 0.6268 0.1268 0.0000  1 Cu 2.48, 2 Sb 2.69, 2 Pd 2.73
4 Cu 0.8732 0.6268 0.0000  1 Cu 2.48, 2 Sb 2.69, 2 Pd 2.73
5 Sb 0.1765 0.6765 0.5000  6 Cu 2.69-2.84
6 Sb 0.3235 0.1765 0.5000  6 Cu 2.69-2.84
7 Sb 0.6765 0.8235 0.5000  6 Cu 2.69-2.84
8 Sb 0.8235 0.3235 0.5000  6 Cu 2.69-2.84
9 Pd 0.0000 0.0000 0.0000  4 Cu 2.73
10 Pd 0.5000 0.5000 0.0000  4 Cu 2.73

# 5
Density functional theory data (PBE) for a relaxed structure of CdSn3Au3.

Computed properties:
**Calculated formation energy**: 0.189 eV/atom
**Total energy**: -3.06 eV/atom
**Energy above the lowest structure with this stoichiometry**: 2.14 eV/f.u.
**D(E_F)**: 0.642 states/eV/atom

Lattice parameters (Å, degrees): 7.7038 7.7038 7.7038 90.00 90.00 90.00
With the nearest neighbours (Å) after each atom.
Fractional positions:
1 Cd 0.0000 0.0000 0.0000  12 Sn 4.31, 12 Au 4.31
2 Cd 0.5000 0.5000 0.5000  12 Sn 4.31, 12 Au 4.31
3 Sn 0.0000 0.2500 0.5000  4 Au 2.72
4 Sn 0.0000 0.7500 0.5000  4 Au 2.72
5 Sn 0.2500 0.5000 0.0000  4 Au 2.72
6 Sn 0.5000 0.0000 0.2500  4 Au 2.72
7 Sn 0.5000 0.0000 0.7500  4 Au 2.72
8 Sn 0.7500 0.5000 0.0000  4 Au 2.72
9 Au 0.0000 0.5000 0.2500  4 Sn 2.72
10 Au 0.0000 0.5000 0.7500  4 Sn 2.72
11 Au 0.2500 0.0000 0.5000  4 Sn 2.72
12 Au 0.5000 0.2500 0.0000  4 Sn 2.72
13 Au 0.5000 0.7500 0.0000  4 Sn 2.72
14 Au 0.7500 0.0000 0.5000  4 Sn 2.72

# 6
Density functional theory data (PBE) for a relaxed structure of Na2VSn.

Computed properties:
**Calculated formation energy**: 0.548 eV/atom
**Total energy**: -3.39 eV/atom
**D(E_F)**: 0.575 states/eV/atom

Lattice parameters (Å, degrees): 6.6823 6.6823 6.6823 100.15 100.15 130.35
With the nearest neighbours (Å) after each atom.
Fractional positions:
1 Na 0.1240 0.6250 0.9990  2 Na 2.81, 2 V 3.11, 2 Sn 3.12
2 Na 0.3750 0.3740 0.4990  2 Na 2.81, 2 V 3.11, 2 Sn 3.12
3 Na 0.6260 0.1250 0.0010  2 Na 2.81, 2 V 3.11, 2 Sn 3.12
4 Na 0.8750 0.8760 0.5010  2 Na 2.81, 2 V 3.11, 2 Sn 3.12
5 V 0.0000 0.0000 0.0000  2 Sn 2.81, 4 Na 3.11
6 V 0.7500 0.2500 0.5000  2 Sn 2.81, 4 Na 3.11
7 Sn 0.2500 0.7500 0.5000  2 V 2.81, 4 Na 3.12
8 Sn 0.5000 0.5000 0.0000  2 V 2.81, 4 Na 3.12

# 7
Density functional theory data (PBE) for a relaxed structure of Pa3As4Ru4.

Computed properties:
**Calculated formation energy**: -0.731 eV/atom
**Total energy**: -8.38 eV/atom
**D(E_F)**: 1.006 states/eV/atom

Lattice parameters (Å, degrees): 8.0575 8.0575 8.0575 150.39 128.49 60.54
With the nearest neighbours (Å) after each atom.
Fractional positions:
1 Pa 0.0000 0.0000 0.0000  6 As 2.88-2.94
2 Pa 0.3714 0.8714 0.5000  6 Ru 2.97-3.08, 6 As 3.04-3.10
3 Pa 0.6286 0.1286 0.5000  6 Ru 2.97-3.08, 6 As 3.04-3.10
4 As 0.2110 0.2110 0.0000  6 Ru 2.57
5 As 0.2881 0.5000 0.7881  2 Ru 2.52
6 As 0.7119 0.5000 0.2119  2 Ru 2.52
7 As 0.7890 0.7890 0.0000  6 Ru 2.57
8 Ru 0.0321 0.3232 0.7089  4 As 2.52-2.57
9 Ru 0.3856 0.6768 0.7089  4 As 2.52-2.57
10 Ru 0.6144 0.3232 0.2911  4 As 2.52-2.57
11 Ru 0.9679 0.6768 0.2911  4 As 2.52-2.57

# 8
Density functional theory data (PBE) for a relaxed structure of Li2ZnCr2.

Computed properties:
**Calculated formation energy**: 0.491 eV/atom
**Total energy**: -4.38 eV/atom
**Energy above the lowest structure with this stoichiometry**: 0.00 eV/f.u.
**D(E_F)**: 0.882 states/eV/atom

Lattice parameters (Å, degrees): 8.0697 8.0697 8.0697 157.57 157.57 31.93
With the nearest neighbours (Å) after each atom.
Fractional positions:
1 Li 0.0989 0.0989 0.0000  4 Zn 2.70, 4 Cr 2.82
2 Li 0.9011 0.9011 0.0000  4 Zn 2.70, 4 Cr 2.82
3 Zn 0.5000 0.5000 0.0000  8 Li 2.70
4 Cr 0.2500 0.7500 0.5000  4 Cr 2.22
5 Cr 0.7500 0.2500 0.5000  4 Cr 2.22

# 9
Density functional theory data (PBE) for a relaxed structure of ZrTl2Fe.

Computed properties:
**Calculated formation energy**: 0.496 eV/atom
**Total energy**: -4.94 eV/atom
**Energy above the lowest structure with this stoichiometry**: 1.21 eV/f.u.
**D(E_F)**: 0.942 states/eV/atom

Lattice parameters (Å, degrees): 4.8086 4.8086 4.8086 60.00 60.00 60.00
With the nearest neighbours (Å) after each atom.
Fractional positions:
1 Zr 0.0000 0.0000 0.0000  8 Tl 2.94
2 Tl 0.2500 0.2500 0.2500  4 Zr 2.94, 4 Fe 2.94
3 Tl 0.7500 0.7500 0.7500  4 Zr 2.94, 4 Fe 2.94
4 Fe 0.5000 0.5000 0.5000  8 Tl 2.94

# 10
Density functional theory data (PBE) for a relaxed structure of ScZnRu.

Computed properties:
**Calculated formation energy**: -0.031 eV/atom
**Total energy**: -5.66 eV/atom
**D(E_F)**: 1.039 states/eV/atom

Lattice parameters (Å, degrees): 4.3236 4.3236 4.3236 60.00 60.00 60.00
With the nearest neighbours (Å) after each atom.
Fractional positions:
1 Sc 0.0000 0.0000 0.0000  4 Ru 2.65
2 Zn 0.5000 0.5000 0.5000  4 Ru 2.65
3 Ru 0.7500 0.7500 0.7500  4 Sc 2.65, 4 Zn 2.65

# 11
Density functional theory data (PBE) for a relaxed structure of TlRe2Os.

Computed properties:
**Calculated formation energy**: 0.667 eV/atom
**Total energy**: -8.96 eV/atom
**Energy above the lowest structure with this stoichiometry**: 0.33 eV/f.u.
**D(E_F)**: 1.523 states/eV/atom

Lattice parameters (Å, degrees): 2.8401 2.8401 8.2243 90.00 90.00 90.00
With the nearest neighbours (Å) after each atom.
Fractional positions:
1 Tl 0.0000 0.0000 0.0000  4 Tl 2.84, 8 Re 3.05
2 Re 0.5000 0.5000 0.2786  4 Os 2.71, 4 Re 2.84
3 Re 0.5000 0.5000 0.7214  4 Os 2.71, 4 Re 2.84
4 Os 0.0000 0.0000 0.5000  8 Re 2.71, 4 Os 2.84

# 12
Density functional theory data (PBE) for a relaxed structure of Tm8MgFe2.

Computed properties:
**Calculated formation energy**: 0.040 eV/atom
**Total energy**: -4.90 eV/atom
**D(E_F)**: 0.807 states/eV/atom

Lattice parameters (Å, degrees): 8.7358 8.7358 5.9241 109.22 109.22 43.18
With the nearest neighbours (Å) after each atom.
Fractional positions:
1 Tm 0.0856 0.0856 0.4370  1 Fe 2.59
2 Tm 0.1187 0.6198 0.0226  2 Fe 2.69-2.72
3 Tm 0.2932 0.2932 0.4292  1 Fe 2.77
4 Tm 0.3802 0.8813 0.9774  2 Fe 2.69-2.72
5 Tm 0.6198 0.1187 0.0226  2 Fe 2.69-2.72
6 Tm 0.7068 0.7068 0.5708  1 Fe 2.77
7 Tm 0.8813 0.3802 0.9774  2 Fe 2.69-2.72
8 Tm 0.9144 0.9144 0.5630  1 Fe 2.59
9 Mg 0.5000 0.5000 0.5000  10 Tm 3.23-3.57
10 Fe 0.2309 0.2309 0.8072  6 Tm 2.59-2.77
11 Fe 0.7691 0.7691 0.1928  6 Tm 2.59-2.77

What did the fifth record say?
Density functional theory data (PBE) for a relaxed structure of CdSn3Au3.

Computed properties:
**Calculated formation energy**: 0.189 eV/atom
**Total energy**: -3.06 eV/atom
**Energy above the lowest structure with this stoichiometry**: 2.14 eV/f.u.
**D(E_F)**: 0.642 states/eV/atom

Lattice parameters (Å, degrees): 7.7038 7.7038 7.7038 90.00 90.00 90.00
With the nearest neighbours (Å) after each atom.
Fractional positions:
1 Cd 0.0000 0.0000 0.0000  12 Sn 4.31, 12 Au 4.31
2 Cd 0.5000 0.5000 0.5000  12 Sn 4.31, 12 Au 4.31
3 Sn 0.0000 0.2500 0.5000  4 Au 2.72
4 Sn 0.0000 0.7500 0.5000  4 Au 2.72
5 Sn 0.2500 0.5000 0.0000  4 Au 2.72
6 Sn 0.5000 0.0000 0.2500  4 Au 2.72
7 Sn 0.5000 0.0000 0.7500  4 Au 2.72
8 Sn 0.7500 0.5000 0.0000  4 Au 2.72
9 Au 0.0000 0.5000 0.2500  4 Sn 2.72
10 Au 0.0000 0.5000 0.7500  4 Sn 2.72
11 Au 0.2500 0.0000 0.5000  4 Sn 2.72
12 Au 0.5000 0.2500 0.0000  4 Sn 2.72
13 Au 0.5000 0.7500 0.0000  4 Sn 2.72
14 Au 0.7500 0.0000 0.5000  4 Sn 2.72